[1]
An optimized crystal structure of CdTeBrO2. Source: Alexandria, functional PBE.

CIF file:
```
data_CdTeBrO2
_chemical_formula_sum 'Cd1 Te1 Br1 O2'
_symmetry_space_group_name_H-M 'P 4/m m m'
_symmetry_Int_Tables_number 123
_symmetry_space_group_name_Hall '-P 4 2'
_cell_length_a 4.066
_cell_length_b 4.066
_cell_length_c 6.228
_cell_angle_alpha 90.00
_cell_angle_beta 90.00
_cell_angle_gamma 90.00
loop_
_atom_site_label
_atom_site_fract_x
_atom_site_fract_y
_atom_site_fract_z
Cd1 0.000 0.000 0.000
Te1 0.000 0.000 0.500
Br1 0.500 0.500 0.000
O1 0.000 0.500 0.500
```


[2]
An optimized crystal structure of Cd2Te2BrO6. Source: Alexandria, functional PBE.

CIF file:
```
data_Cd2Te2BrO6
_chemical_formula_sum 'Cd4 Te4 Br2 O12'
_symmetry_space_group_name_H-M 'C 1 2/m 1'
_symmetry_Int_Tables_number 12
_cell_length_a 11.935
_cell_length_b 6.242
_cell_length_c 6.609
_cell_angle_alpha 90.00
_cell_angle_beta 122.80
_cell_angle_gamma 90.00
loop_
_symmetry_equiv_pos_as_xyz
'x,y,z'
'-x,-y,-z'
'-x,y,-z'
'x,-y,z'
'x+1/2,y+1/2,z'
'-x+1/2,-y+1/2,-z'
'-x+1/2,y+1/2,-z'
'x+1/2,-y+1/2,z'
loop_
_atom_site_label
_atom_site_fract_x
_atom_site_fract_y
_atom_site_fract_z
Cd1 0.154 0.000 0.306
Te1 0.227 0.000 0.855
Br1 0.000 0.500 0.000
O1 0.080 0.000 0.898
O2 0.187 0.223 0.634
```


[3]
An optimized crystal structure of TiCdBr2O. Source: Alexandria, functional PBE.

CIF file:
```
data_TiCdBr2O
_chemical_formula_sum 'Ti1 Cd1 Br2 O1'
_symmetry_space_group_name_H-M 'P 4/m m m'
_symmetry_Int_Tables_number 123
_symmetry_space_group_name_Hall '-P 4 2'
_cell_length_a 5.699
_cell_length_b 5.699
_cell_length_c 3.875
_cell_angle_alpha 90.00
_cell_angle_beta 90.00
_cell_angle_gamma 90.00
loop_
_atom_site_label
_atom_site_fract_x
_atom_site_fract_y
_atom_site_fract_z
Ti1 0.000 0.000 0.000
Cd1 0.500 0.500 0.000
Br1 0.000 0.500 0.500
O1 0.500 0.500 0.500
```


[4]
An optimized crystal structure of TlCdBrO2. Source: Alexandria, functional PBE.

CIF file:
```
data_TlCdBrO2
_chemical_formula_sum 'Tl2 Cd2 Br2 O4'
_symmetry_space_group_name_H-M 'P 1 21/m 1'
_symmetry_Int_Tables_number 11
_cell_length_a 6.687
_cell_length_b 4.340
_cell_length_c 7.935
_cell_angle_alpha 90.00
_cell_angle_beta 96.53
_cell_angle_gamma 90.00
loop_
_symmetry_equiv_pos_as_xyz
'x,y,z'
'-x,-y,-z'
'-x,y+1/2,-z'
'x,-y+1/2,z'
loop_
_atom_site_label
_atom_site_fract_x
_atom_site_fract_y
_atom_site_fract_z
Tl1 0.076 0.250 0.356
Cd1 0.175 0.250 0.924
Br1 0.441 0.250 0.227
O1 0.047 0.250 0.629
O2 0.087 0.750 0.898
```


[5]
An optimized crystal structure of UCd3Br2O6. Source: Alexandria, functional PBE.

CIF file:
```
data_UCd3Br2O6
_chemical_formula_sum 'U2 Cd6 Br4 O12'
_symmetry_space_group_name_H-M 'C 1 2/m 1'
_symmetry_Int_Tables_number 12
_cell_length_a 14.356
_cell_length_b 6.626
_cell_length_c 5.217
_cell_angle_alpha 90.00
_cell_angle_beta 90.46
_cell_angle_gamma 90.00
loop_
_symmetry_equiv_pos_as_xyz
'x,y,z'
'-x,-y,-z'
'-x,y,-z'
'x,-y,z'
'x+1/2,y+1/2,z'
'-x+1/2,-y+1/2,-z'
'-x+1/2,y+1/2,-z'
'x+1/2,-y+1/2,z'
loop_
_atom_site_label
_atom_site_fract_x
_atom_site_fract_y
_atom_site_fract_z
U1 0.000 0.000 0.000
Cd1 0.000 0.500 0.500
Cd2 0.250 0.250 0.000
Br1 0.189 0.500 0.549
O1 0.007 0.219 0.250
O2 0.159 0.000 0.972
```


Looking at raw total energy for the records above, in order, we have -3.62, -4.45, -3.31, -3.69, -5.27 eV per atom.
Looking at ΔE_f (raw) for the records above, in order, we have -0.489, -0.854, 0.114, -0.719, -1.341 eV per atom.
Looking at V for the records above, in order, we have 103, 414, 126, 229, 496 Å³ per cell.